[1]
Computed, not measured: Hf2AgN after structural relaxation at the PBE level of DFT.

Results
- Raw total energy: -8.266 eV/atom
- Uncorrected formation energy: -0.50 eV per atom
- V: 18.23 Å³/atom
- Total magnetic moment: 0.000 μB per formula unit

Structure (CIF):
```
data_Hf2AgN
_symmetry_space_group_name_H-M 'I -4 2 d'
_symmetry_Int_Tables_number 122
_symmetry_space_group_name_Hall 'I -4 2bw'
_cell_length_a 6.359
_cell_length_b 6.359
_cell_length_c 7.211
_cell_angle_alpha 90.00
_cell_angle_beta 90.00
_cell_angle_gamma 90.00
loop_
_atom_site_label
_atom_site_type_symbol
_atom_site_fract_x
_atom_site_fract_y
_atom_site_fract_z
Hf1 Hf 0.159 0.250 0.125
Ag1 Ag 0.000 0.000 0.500
N1 N 0.000 0.000 0.000
```

---

[2]
Computed, not measured: Ce2NpU2Os4 after structural relaxation at the PBE level of DFT.

Results
- Formation enthalpy at 0 K: 0.57 eV per formula unit
- Raw total energy: -10.193 eV/atom
- V: 21.02 Å³/atom
- Total magnetic moment: 6.849 μB per formula unit

Structure (CIF):
```
data_Ce2NpU2Os4
_symmetry_space_group_name_H-M 'C 1 2/m 1'
_symmetry_Int_Tables_number 12
_symmetry_space_group_name_Hall '-C 2y'
_cell_length_a 15.068
_cell_length_b 6.151
_cell_length_c 4.203
_cell_angle_alpha 90.00
_cell_angle_beta 103.78
_cell_angle_gamma 90.00
loop_
_atom_site_label
_atom_site_type_symbol
_atom_site_fract_x
_atom_site_fract_y
_atom_site_fract_z
Ce1 Ce 0.214 0.000 0.456
Np1 Np 0.000 0.000 0.000
U1 U 0.063 0.500 0.321
Os1 Os 0.141 0.266 0.893
```